1.
An optimized crystal structure of Li2YBiS. Source: Alexandria via LeMat-Bulk, functional PBE-GGA.

Total DFT energy (no corrections)   -0.1746 Ha/atom
Formation energy from raw total energies   -1.091 eV/atom

Lattice parameters (Å, degrees): 4.6260 4.6260 5.4086 90.00 90.00 90.00
Last column: nearest neighbours and their distance in Å.
Space group P4/mmm (No. 123)
Symmetry-distinct sites (fractional):
Li 0.0000 0.5000 0.0000  2 S 2.31
Y 0.0000 0.0000 0.5000  2 S 2.70
Bi 0.5000 0.5000 0.5000  4 Y 3.27, 8 Li 3.56
S 0.0000 0.0000 0.0000  4 Li 2.31

2.
An optimized crystal structure of NaErF3. Source: Alexandria via LeMat-Bulk, functional PBE-GGA.

Total DFT energy (no corrections)   -0.1966 Ha/atom
Formation energy from raw total energies   -3.050 eV/atom

Lattice parameters (Å, degrees): 5.9655 5.9655 3.2329 90.00 90.00 120.00
Last column: nearest neighbours and their distance in Å.
Space group P-6m2 (No. 187)
Symmetry-distinct sites (fractional):
Na 0.0000 0.0000 0.0000  6 F 2.47
Er 0.6667 0.3333 0.0000  6 F 2.26
F 0.3623 0.1812 0.5000  2 Er 2.26, 2 Na 2.47

3.
An optimized crystal structure of MnB3Mo. Source: Alexandria via LeMat-Bulk, functional PBE-GGA.

Total DFT energy (no corrections)   -0.3093 Ha/atom
E above lowest polymorph   0.000 eV/atom
Formation enthalpy at 0 K   -0.4104 eV per atom

Lattice parameters (Å, degrees): 3.1229 18.1994 3.0355 90.00 90.00 90.00
Last column: nearest neighbours and their distance in Å.
Space group Cmcm (No. 63)
Symmetry-distinct sites (fractional):
Mn 0.0000 0.2038 0.2500  7 B 2.11-2.22
B 0.0000 0.3202 0.2500  2 B 1.81
B 0.0000 0.3742 0.7500  3 B 1.81-1.84
B 0.0000 0.4753 0.7500  3 B 1.76-1.84
Mo 0.0000 0.0748 0.7500  12 B 2.36-2.47

4.
An optimized crystal structure of Hf2Ga2Bi. Source: Alexandria via LeMat-Bulk, functional PBE-GGA.

Total DFT energy (no corrections)   -0.2240 Ha/atom
E above lowest polymorph   0.000 eV/atom
Formation enthalpy at 0 K   -0.1269 eV per atom

Lattice parameters (Å, degrees): 7.4132 7.4132 3.7961 90.00 90.00 90.00
Last column: nearest neighbours and their distance in Å.
Space group P4/mbm (No. 127)
Symmetry-distinct sites (fractional):
Hf 0.1803 0.3197 0.0000  6 Ga 2.84-2.95
Ga 0.1180 0.6180 0.5000  1 Ga 2.47
Bi 0.0000 0.0000 0.5000  4 Ga 2.96, 8 Hf 3.32

5.
An optimized crystal structure of SrHf3Ni. Source: Alexandria via LeMat-Bulk, functional PBE-GGA.

Total DFT energy (no corrections)   -0.1867 Ha/atom
E above lowest polymorph   2.036 eV/atom
Formation enthalpy at 0 K   2.3838 eV per atom

Lattice parameters (Å, degrees): 5.0516 5.0516 5.0516 90.00 90.00 90.00
Last column: nearest neighbours and their distance in Å.
Space group Pm-3m (No. 221)
Symmetry-distinct sites (fractional):
Sr 0.0000 0.0000 0.0000  6 Hf 2.53
Hf 0.0000 0.0000 0.5000  2 Sr 2.53
Ni 0.5000 0.5000 0.5000  12 Hf 3.57

6.
An optimized crystal structure of Ce4AlGe8. Source: Alexandria via LeMat-Bulk, functional PBE-GGA.

Total DFT energy (no corrections)   -0.2019 Ha/atom
Formation enthalpy at 0 K   -0.5385 eV per atom

Lattice parameters (Å, degrees): 4.0751 4.2498 16.5568 90.00 90.00 90.00
Last column: nearest neighbours and their distance in Å.
Space group Pmm2 (No. 25)
Symmetry-distinct sites (fractional):
Ce 0.0000 0.0000 0.0000  10 Ge 3.02-3.13
Ce 0.0000 0.5000 0.4830  10 Ge 3.07-3.32
Ce 0.5000 0.0000 0.7879  10 Ge 3.18-3.55, 4 Al 3.20
Ce 0.5000 0.5000 0.2784  10 Ge 3.06-3.27
Al 0.0000 0.5000 0.7122  5 Ge 2.46-2.58
Ge 0.0000 0.0000 0.3287  2 Ge 2.63
Ge 0.0000 0.0000 0.6240  2 Al 2.58
Ge 0.0000 0.5000 0.1381  4 Ge 2.94, 4 Ce 3.09-3.12
Ge 0.0000 0.5000 0.8609  1 Al 2.46, 2 Ge 2.61
Ge 0.5000 0.0000 0.1405  4 Ge 2.94, 4 Ce 3.09-3.12
Ge 0.5000 0.0000 0.4288  2 Ge 2.63
Ge 0.5000 0.5000 0.6219  2 Al 2.53
Ge 0.5000 0.5000 0.9595  2 Ge 2.61

7.
An optimized crystal structure of LiPaGaCo. Source: Alexandria via LeMat-Bulk, functional PBE-GGA.

Total DFT energy (no corrections)   -0.2065 Ha/atom
Formation enthalpy at 0 K   -0.2322 eV per atom

Lattice parameters (Å, degrees): 6.3447 6.3447 6.3447 90.00 90.00 90.00
Last column: nearest neighbours and their distance in Å.
Space group F-43m (No. 216)
Symmetry-distinct sites (fractional):
Li 0.0000 0.0000 0.0000  4 Ga 2.75, 4 Pa 2.75
Pa 0.2500 0.2500 0.7500  4 Li 2.75, 4 Co 2.75
Ga 0.2500 0.2500 0.2500  4 Co 2.75, 4 Li 2.75
Co 0.0000 0.0000 0.5000  4 Pa 2.75, 4 Ga 2.75

Question: Which of these has the lowest total DFT energy (no corrections)?
Answer: MnB3Mo